HoSiRh3: relaxed, GGA-PBE.

a b c (Å): 4.452 4.452 4.452
angles (deg): 90.00 90.00 90.00
Atoms (fractional coordinates):
Ho1 0.000 0.000 0.000
Si1 0.500 0.500 0.500
Rh1 0.000 0.500 0.500
Rh2 0.500 0.000 0.500
Rh3 0.500 0.500 0.000

Space group ... Pm-3m
Formation energy from raw total energies ... -674 meV per atom
Total DFT energy (no corrections) ... -35.425 eV per formula unit
ΔE to the lowest computed polymorph ... 0.1238 eV per atom